[1]
The following is a PBEsol calculation of a relaxed structure of LaTc2Sn2, from Alexandria via LeMat-Bulk.

a b c (Å): 4.315 4.315 11.724
angles (deg): 90.00 90.00 90.00
Space group I4/mmm (No. 139)
Unique sites:
La1 0.000 0.000 0.000 [2 per cell]
Tc1 0.000 0.500 0.250 [4 per cell]
Sn1 0.000 0.000 0.379 [4 per cell]

=====

[2]
The following is a PBEsol calculation of a relaxed structure of La2TiSn2, from Alexandria via LeMat-Bulk.

a b c (Å): 4.200 4.200 15.025
angles (deg): 90.00 90.00 90.00
Space group I4/mmm (No. 139)
Unique sites:
La1 0.000 0.500 0.250 [4 per cell]
Ti1 0.000 0.000 0.000 [2 per cell]
Sn1 0.000 0.000 0.412 [4 per cell]

=====

[3]
The following is a PBEsol calculation of a relaxed structure of LaTl3Sn, from Alexandria via LeMat-Bulk.

a b c (Å): 5.901 5.901 5.901
angles (deg): 90.00 90.00 90.00
Space group Pm-3m (No. 221)
Unique sites:
La1 0.000 0.000 0.000 [1 per cell]
Tl1 0.000 0.000 0.500 [3 per cell]
Sn1 0.500 0.500 0.500 [1 per cell]

=====

[4]
The following is a PBEsol calculation of a relaxed structure of La2Tl3Sn3, from Alexandria via LeMat-Bulk.

a b c (Å): 4.723 4.767 9.549
angles (deg): 90.00 90.00 90.00
Space group Pmmm (No. 47)
Unique sites:
La1 0.000 0.000 0.243 [2 per cell]
Tl1 0.000 0.500 0.000 [1 per cell]
Tl2 0.000 0.500 0.500 [1 per cell]
Tl3 0.500 0.000 0.500 [1 per cell]
Sn1 0.500 0.000 0.000 [1 per cell]
Sn2 0.500 0.500 0.247 [2 per cell]

=====

What did we get for ΔH_f (0 K)? Answer: -0.041 0.061 0.694 -0.539 eV per atom, in the order shown.
What did we get for theoretical density? Answer: 8.708 7.054 7.036 9.634 g/cm3, in the order shown.
What did we get for DOS(E_F)? Answer: 6.83 4.16 3.29 4.21 states/eV/f.u., in the order shown.